[1]
Tc2MoRu: optimized geometry, PBE.

Structure (POSCAR):
```
Tc2MoRu
1.0
4.566 -1.380 0.000
4.566 1.380 0.000
-0.831 0.000 4.694
Tc Mo Ru
2 1 1
direct
0.243 0.243 0.239 Tc
0.757 0.757 0.761 Tc
0.000 0.000 0.500 Mo
0.500 0.500 0.000 Ru
```

V = 59.2 Å³/f.u.
Total magnetization = 0.000 μB/atom
Density = 11.03 g cm⁻³
Energy relative to the elements = 78 meV/atom
Energy above the lowest structure with this stoichiometry = 62.5 meV/atom

***

[2]
TaHg2Pt3O12: optimized geometry, PBE.

Structure (POSCAR):
```
TaHg2Pt3O12
1.0
3.579 2.067 6.169
-3.579 2.067 6.169
0.000 -4.133 6.169
Ta Hg Pt O
1 2 3 12
direct
0.000 0.000 0.000 Ta
0.305 0.305 0.305 Hg
0.695 0.695 0.695 Hg
0.000 0.000 0.500 Pt
0.000 0.500 0.000 Pt
0.500 0.000 0.000 Pt
0.063 0.671 0.671 O
0.071 0.071 0.675 O
0.071 0.675 0.071 O
0.325 0.929 0.929 O
0.329 0.329 0.937 O
0.329 0.937 0.329 O
0.671 0.063 0.671 O
0.671 0.671 0.063 O
0.675 0.071 0.071 O
0.929 0.325 0.929 O
0.929 0.929 0.325 O
0.937 0.329 0.329 O
```

V = 273.8 Å³/f.u.
Total magnetization = 0.154 μB/atom
Density = 8.24 g cm⁻³
Formation energy (no corrections) = -0.658 eV per atom